VASP calculation (PBE with a Hubbard U) on a relaxed structure of TaCo3O.

Properties
The value obtained for the excess energy over the best structure of this formula in the dataset is 1556 meV/atom.

abc: 4.5041 4.5041 4.5041
angles: 90.00 90.00 90.00
Last column: nearest neighbours and their distance in Å.
Positions (direct):
Ta  0.0000  0.0000  0.0000  6 Co 2.25
Co  0.0000  0.0000  0.5000  2 Ta 2.25
Co  0.0000  0.5000  0.0000  2 Ta 2.25
Co  0.5000  0.0000  0.0000  2 Ta 2.25
O  0.5000  0.5000  0.5000  12 Co 3.18